# CrFeMo2

A geometry-optimized CrFeMo2 structure (PBE, Alexandria via LeMat-Bulk).

The space group is Pmmm (No. 47) and the conventional cell measures 3.100, 4.168 and 4.285 Å, with angles of 90.00, 90.00 and 90.00 degrees. Symmetry generates all atoms from Cr at (0.000, 0.000, 0.000), Fe at (0.500, 0.000, 0.500), Mo at (0.000, 0.500, 0.500) and Mo at (0.500, 0.500, 0.000).

The calculation puts the density of states at the Fermi level at 4.01 states/eV per cell. For the formation enthalpy at 0 K, the calculation gives 14.8 kJ per mole of atoms.